Material: TcNiRh2
Method: DFT, PBE-GGA
State: relaxed

a = 4.2765 Å, b = 4.2765 Å, c = 4.2765 Å
α = 60.00°, β = 60.00°, γ = 60.00°
Last column: nearest neighbours and their distance in Å.
Sites, in units of the cell vectors:
1 Tc 0.0000 0.0000 0.0000  8 Rh 2.62
2 Ni 0.5000 0.5000 0.5000  8 Rh 2.62
3 Rh 0.2500 0.2500 0.2500  4 Tc 2.62, 4 Ni 2.62
4 Rh 0.7500 0.7500 0.7500  4 Tc 2.62, 4 Ni 2.62

The volume comes out at 13.83 Å³ per atom. For the energy above the most stable polymorph in this dataset, the calculation gives 1.087 eV/f.u. The value obtained for the formation enthalpy at 0 K is 0.21 eV/atom.